No. 1
Density functional theory data (GGA-PBE) for a geometry-optimized Tb15Dy4Zr structure.

Properties
Calculated total energy: -95.8 eV/cell

Lattice parameters (Å, degrees): 5.0094 5.0094 24.9388 90.00 90.00 90.00
Element x y z (fractional)
Tb  0.5000  0.5000  0.0000
Tb  0.5000  0.5000  0.1970
Tb  0.5000  0.5000  0.3990
Tb  0.5000  0.5000  0.6010
Tb  0.5000  0.5000  0.8030
Tb  0.5000  0.0000  0.0941
Tb  0.5000  0.0000  0.2975
Tb  0.5000  0.0000  0.5000
Tb  0.5000  0.0000  0.7025
Tb  0.5000  0.0000  0.9059
Tb  0.0000  0.5000  0.0941
Tb  0.0000  0.5000  0.2975
Tb  0.0000  0.5000  0.5000
Tb  0.0000  0.5000  0.7025
Tb  0.0000  0.5000  0.9059
Dy  0.0000  0.0000  0.1975
Dy  0.0000  0.0000  0.3989
Dy  0.0000  0.0000  0.6011
Dy  0.0000  0.0000  0.8025
Zr  0.0000  0.0000  0.0000

No. 2
Density functional theory data (GGA-PBE) for a geometry-optimized Tb7Dy4Zr structure.

Properties
Calculated total energy: -59.0 eV/cell

Lattice parameters (Å, degrees): 7.1065 6.1431 11.2668 79.53 50.91 90.02
Element x y z (fractional)
Tb  0.7576  0.4999  0.0000
Tb  0.2424  0.5001  0.0000
Tb  0.0835  0.2739  0.6720
Tb  0.9165  0.7261  0.3280
Tb  0.8366  0.7744  0.6632
Tb  0.5000  0.0000  0.0000
Tb  0.1634  0.2256  0.3368
Dy  0.4283  0.7261  0.3276
Dy  0.5717  0.2739  0.6724
Dy  0.3267  0.7837  0.6732
Dy  0.6733  0.2163  0.3268
Zr  0.0000  0.0000  0.0000

No. 3
Density functional theory data (GGA-PBE) for a geometry-optimized Tb8Dy3Zr structure.

Properties
Calculated total energy: -50.6 eV/cell

Lattice parameters (Å, degrees): 7.6438 7.6438 9.3087 114.24 114.24 90.00
Element x y z (fractional)
Tb  0.8795  0.3608  0.2402
Tb  0.3608  0.3608  0.2402
Tb  0.1205  0.1205  0.7598
Tb  0.6392  0.1205  0.7598
Tb  0.3608  0.8795  0.2402
Tb  0.8795  0.8795  0.2402
Tb  0.6392  0.6392  0.7598
Tb  0.1205  0.6392  0.7598
Dy  0.2500  0.7500  0.5000
Dy  0.5000  0.5000  0.0000
Dy  0.7500  0.2500  0.5000
Zr  0.0000  0.0000  0.0000

No. 4
Density functional theory data (GGA-PBE) for a geometry-optimized Tb4Dy6Zr structure.

Properties
Calculated total energy: -106.1 eV/cell

Lattice parameters (Å, degrees): 8.7029 8.7029 8.9604 90.00 90.00 90.00
Element x y z (fractional)
Tb  0.3542  0.1458  0.2500
Tb  0.1458  0.6458  0.7500
Tb  0.6458  0.8542  0.7500
Tb  0.8542  0.3542  0.7500
Tb  0.3542  0.1458  0.7500
Tb  0.1458  0.6458  0.2500
Tb  0.8542  0.3542  0.2500
Tb  0.6458  0.8542  0.2500
Dy  0.3448  0.8489  0.5000
Dy  0.8448  0.6511  0.0000
Dy  0.6511  0.1552  0.0000
Dy  0.1511  0.3448  0.5000
Dy  0.0000  0.0000  0.1755
Dy  0.5000  0.5000  0.3245
Dy  0.3489  0.8448  0.0000
Dy  0.0000  0.0000  0.8245
Dy  0.1552  0.3489  0.0000
Dy  0.5000  0.5000  0.6755
Dy  0.8489  0.6552  0.5000
Dy  0.6552  0.1511  0.5000
Zr  0.5000  0.5000  0.0000
Zr  0.0000  0.0000  0.5000

No. 5
Density functional theory data (GGA-PBE) for a geometry-optimized Tb2DyZr structure.

Properties
Energy above the lowest structure with this stoichiometry: 0.356 eV per formula unit

Lattice parameters (Å, degrees): 4.0234 4.0234 7.2229 90.00 90.00 90.00
Element x y z (fractional)
Tb  0.0000  0.0000  0.7255
Tb  0.0000  0.0000  0.2745
Zr  0.5000  0.5000  0.5000
Dy  0.5000  0.5000  0.0000

No. 6
Density functional theory data (GGA-PBE) for a geometry-optimized Tb4Dy15Zr structure.

Properties
Calculated total energy: -95.5 eV/cell

Lattice parameters (Å, degrees): 4.9963 4.9963 24.8785 90.00 90.00 90.00
Element x y z (fractional)
Tb  0.0000  0.0000  0.1975
Tb  0.0000  0.0000  0.3988
Tb  0.0000  0.0000  0.6012
Tb  0.0000  0.0000  0.8025
Dy  0.5000  0.5000  0.0000
Dy  0.5000  0.5000  0.1968
Dy  0.5000  0.5000  0.3990
Dy  0.5000  0.5000  0.6010
Dy  0.5000  0.5000  0.8032
Dy  0.5000  0.0000  0.0938
Dy  0.5000  0.0000  0.2974
Dy  0.5000  0.0000  0.5000
Dy  0.5000  0.0000  0.7026
Dy  0.5000  0.0000  0.9062
Dy  0.0000  0.5000  0.0938
Dy  0.0000  0.5000  0.2974
Dy  0.0000  0.5000  0.5000
Dy  0.0000  0.5000  0.7026
Dy  0.0000  0.5000  0.9062
Zr  0.0000  0.0000  0.0000

No. 7
Density functional theory data (GGA-PBE) for a geometry-optimized Tb2DyZr structure.

Properties
Energy above the lowest structure with this stoichiometry: 0.545 eV per formula unit

Lattice parameters (Å, degrees): 5.5074 5.5074 5.5074 60.00 60.00 60.00
Element x y z (fractional)
Tb  0.2500  0.2500  0.2500
Tb  0.7500  0.7500  0.7500
Zr  0.5000  0.5000  0.5000
Dy  0.0000  0.0000  0.0000

No. 8
Density functional theory data (GGA-PBE) for a geometry-optimized Tb6Dy8Zr structure.

Properties
Calculated total energy: -71.2 eV/cell

Lattice parameters (Å, degrees): 8.5311 8.5311 8.5311 63.64 63.64 63.64
Element x y z (fractional)
Tb  0.8895  0.4549  0.7773
Tb  0.2227  0.1105  0.5451
Tb  0.5451  0.2227  0.1105
Tb  0.4549  0.7773  0.8895
Tb  0.7773  0.8895  0.4549
Tb  0.1105  0.5451  0.2227
Dy  0.1102  0.7229  0.7502
Dy  0.2498  0.8898  0.2771
Dy  0.2771  0.2498  0.8898
Dy  0.5765  0.5765  0.5765
Dy  0.4235  0.4235  0.4235
Dy  0.7229  0.7502  0.1102
Dy  0.7502  0.1102  0.7229
Dy  0.8898  0.2771  0.2498
Zr  0.0000  0.0000  0.0000